A geometry-optimized NiIrOF2 structure, computed with PBE with a Hubbard U.

## Properties
Energy above the lowest structure with this stoichiometry   178 meV/atom
E_tot   -4.240 eV/atom
Magnetization   4.75 Bohr magnetons per cell
Crystal system   tetragonal

Geometry as CIF:
```
data_NiIrOF2
_chemical_formula_sum 'Ni1 Ir1 O1 F2'
_cell_length_a 3.761
_cell_length_b 3.761
_cell_length_c 4.328
_cell_angle_alpha 90.00
_cell_angle_beta 90.00
_cell_angle_gamma 90.00
_symmetry_space_group_name_H-M 'P 4/m m m'
_symmetry_Int_Tables_number 123
_symmetry_space_group_name_Hall '-P 4 2'
loop_
_atom_site_label
_atom_site_fract_x
_atom_site_fract_y
_atom_site_fract_z
_atom_site_occupancy
Ni1 0.000 0.000 0.000 1
Ir1 0.500 0.500 0.500 1
O1 0.000 0.000 0.500 1
F1 0.000 0.500 0.000 1
```